(1)
First-principles (PBE) data for a relaxed structure of TlHgI, as listed in Alexandria.

Symmetry = I4mm (107)
M_tot = 0.0 μB per formula unit
Crystal system = tetragonal

a b c (Å): 4.297 4.297 7.092
angles (deg): 107.64 107.64 90.00
Element x y z (fractional)
I: 0.687 0.687 0.374
Tl: 0.316 0.316 0.631
Hg: 0.997 0.997 0.995

(2)
First-principles (PBE) data for a relaxed structure of TlHgI, as listed in Alexandria.

Symmetry = F-43m (216)
M_tot = 0.0 μB per formula unit
Crystal system = cubic

a b c (Å): 5.700 5.700 5.700
angles (deg): 60.00 60.00 60.00
Element x y z (fractional)
I: 0.500 0.500 0.500
Tl: 0.250 0.250 0.250
Hg: 0.000 0.000 0.000

(3)
First-principles (PBE) data for a relaxed structure of TlHgI, as listed in Alexandria.

Symmetry = C2/m (12)
M_tot = 0.0 μB per formula unit
Crystal system = monoclinic

a b c (Å): 7.484 7.486 15.651
angles (deg): 147.44 147.43 40.14
Element x y z (fractional)
Hg: 0.236 0.236 0.750
Hg: 0.764 0.764 0.250
Tl: 0.580 0.580 0.750
Tl: 0.420 0.420 0.250
I: 0.081 0.082 0.250
I: 0.919 0.918 0.750

Calculated relative energies: (1) 0.046; (2) 0.026; (3) 0.000, given in eV/atom

(1)
First-principles (PBE) data for a relaxed structure of TlHgI, as listed in Alexandria.

Symmetry = P3m1 (156)
M_tot = 0.0 μB per formula unit
Crystal system = trigonal

a b c (Å): 5.529 5.083 5.083
angles (deg): 120.00 90.00 90.00
Element x y z (fractional)
I: 0.638 0.333 0.667
Tl: 0.329 0.667 0.333
Hg: 0.032 0.000 0.000

(2)
First-principles (PBE) data for a relaxed structure of TlHgI, as listed in Alexandria.

Symmetry = C2/m (12)
M_tot = 0.0 μB per formula unit
Crystal system = monoclinic

a b c (Å): 4.954 4.954 9.423
angles (deg): 89.95 90.05 89.98
Element x y z (fractional)
Tl: 0.251 0.749 0.699
Tl: 0.749 0.251 0.301
Hg: 0.750 0.750 0.000
Hg: 0.250 0.250 0.000
I: 0.751 0.249 0.657
I: 0.249 0.751 0.343

Calculated relative energies: (1) 0.039; (2) 0.000, given in eV/atom

(1)
First-principles (PBE) data for a relaxed structure of TlHg2I2, as listed in Alexandria.

Symmetry = P4/mbm (127)
M_tot = 0.0 μB per formula unit
Crystal system = tetragonal

a b c (Å): 8.928 8.928 4.559
angles (deg): 90.00 90.00 90.00
Element x y z (fractional)
I: 0.210 0.710 0.500
I: 0.710 0.790 0.500
I: 0.790 0.290 0.500
I: 0.290 0.210 0.500
Tl: 0.000 0.000 0.000
Tl: 0.500 0.500 0.000
Hg: 0.389 0.889 0.000
Hg: 0.889 0.611 0.000
Hg: 0.611 0.111 0.000
Hg: 0.111 0.389 0.000

(2)
First-principles (PBE) data for a relaxed structure of TlHg2I2, as listed in Alexandria.

Symmetry = I4/mmm (139)
M_tot = 0.0 μB per formula unit
Crystal system = tetragonal

a b c (Å): 6.314 6.314 6.538
angles (deg): 61.13 61.13 90.00
Element x y z (fractional)
I: 0.750 0.250 0.500
I: 0.250 0.750 0.500
Tl: 0.000 0.000 0.000
Hg: 0.354 0.354 0.292
Hg: 0.646 0.646 0.708

(3)
First-principles (PBE) data for a relaxed structure of TlHg2I2, as listed in Alexandria.

Symmetry = P4/mbm (127)
M_tot = 0.0 μB per formula unit
Crystal system = tetragonal

a b c (Å): 9.590 9.590 4.523
angles (deg): 90.00 90.00 90.00
Element x y z (fractional)
I: 0.286 0.786 0.000
I: 0.786 0.714 0.000
I: 0.714 0.214 0.000
I: 0.214 0.286 0.000
Tl: 0.000 0.000 0.000
Tl: 0.500 0.500 0.000
Hg: 0.106 0.606 0.500
Hg: 0.606 0.894 0.500
Hg: 0.894 0.394 0.500
Hg: 0.394 0.106 0.500

Calculated relative energies: (1) 0.049; (2) 0.000; (3) 0.079, given in eV/atom

(1)
First-principles (PBE) data for a relaxed structure of Tl2Hg2I, as listed in Alexandria.

Symmetry = I4/mmm (139)
M_tot = 0.0 μB per formula unit
Crystal system = tetragonal

a b c (Å): 4.505 4.505 9.106
angles (deg): 75.68 75.68 90.00
Element x y z (fractional)
I: 0.000 0.000 0.000
Tl: 0.402 0.402 0.196
Tl: 0.598 0.598 0.804
Hg: 0.750 0.250 0.500
Hg: 0.250 0.750 0.500

(2)
First-principles (PBE) data for a relaxed structure of Tl2Hg2I, as listed in Alexandria.

Symmetry = P4/mbm (127)
M_tot = 0.0 μB per formula unit
Crystal system = tetragonal

a b c (Å): 9.132 9.132 4.195
angles (deg): 90.00 90.00 90.00
Element x y z (fractional)
I: 0.000 0.000 0.000
I: 0.500 0.500 0.000
Tl: 0.325 0.825 0.000
Tl: 0.825 0.675 0.000
Tl: 0.675 0.175 0.000
Tl: 0.175 0.325 0.000
Hg: 0.130 0.630 0.500
Hg: 0.630 0.870 0.500
Hg: 0.870 0.370 0.500
Hg: 0.370 0.130 0.500

(3)
First-principles (PBE) data for a relaxed structure of Tl2Hg2I, as listed in Alexandria.

Symmetry = I4/mmm (139)
M_tot = 0.0 μB per formula unit
Crystal system = tetragonal

a b c (Å): 5.942 5.942 6.701
angles (deg): 63.68 63.68 90.00
Element x y z (fractional)
I: 0.000 0.000 0.000
Tl: 0.750 0.250 0.500
Tl: 0.250 0.750 0.500
Hg: 0.354 0.354 0.291
Hg: 0.646 0.646 0.709

(4)
First-principles (PBE) data for a relaxed structure of Tl2Hg2I, as listed in Alexandria.

Symmetry = P4/mbm (127)
M_tot = 0.0 μB per formula unit
Crystal system = tetragonal

a b c (Å): 8.980 8.980 4.187
angles (deg): 90.00 90.00 90.00
Element x y z (fractional)
I: 0.000 0.000 0.000
I: 0.500 0.500 0.000
Tl: 0.187 0.687 0.500
Tl: 0.687 0.813 0.500
Tl: 0.813 0.313 0.500
Tl: 0.313 0.187 0.500
Hg: 0.378 0.878 0.000
Hg: 0.878 0.622 0.000
Hg: 0.622 0.122 0.000
Hg: 0.122 0.378 0.000

Calculated relative energies: (1) 0.010; (2) 0.000; (3) 0.054; (4) 0.023, given in eV/atom